[1]
# Cs2Hg5Pd2 (PBE-GGA, optimized geometry)
data_Cs2Hg5Pd2
_symmetry_space_group_name_H-M 'P -1'
_symmetry_Int_Tables_number 2
_symmetry_space_group_name_Hall '-P 1'
_cell_length_a 7.440
_cell_length_b 7.824
_cell_length_c 10.443
_cell_angle_alpha 97.44
_cell_angle_beta 103.12
_cell_angle_gamma 90.35
loop_
_atom_site_label
_atom_site_type_symbol
_atom_site_fract_x
_atom_site_fract_y
_atom_site_fract_z
_atom_site_occupancy
Cs1 Cs 0.063 0.105 0.206 1
Cs2 Cs 0.374 0.566 0.666 1
Hg1 Hg 0.083 0.175 0.560 1
Hg2 Hg 0.156 0.639 0.265 1
Hg3 Hg 0.269 0.275 0.958 1
Hg4 Hg 0.303 0.706 0.011 1
Hg5 Hg 0.457 0.046 0.729 1
Pd1 Pd 0.000 0.500 0.000 1
Pd2 Pd 0.324 0.911 0.461 1
Pd3 Pd 0.500 0.000 0.000 1
# energy above the lowest structure with this stoichiometry = 0.016 eV per atom
# ΔE_f = -0.20 eV per atom
# raw total energy = -1.707 eV/atom


[2]
# Ac2Al3Au2 (PBE-GGA, optimized geometry)
data_Ac2Al3Au2
_symmetry_space_group_name_H-M 'C 1 2/m 1'
_symmetry_Int_Tables_number 12
_symmetry_space_group_name_Hall '-C 2y'
_cell_length_a 11.145
_cell_length_b 4.681
_cell_length_c 7.001
_cell_angle_alpha 90.00
_cell_angle_beta 112.15
_cell_angle_gamma 90.00
loop_
_atom_site_label
_atom_site_type_symbol
_atom_site_fract_x
_atom_site_fract_y
_atom_site_fract_z
_atom_site_occupancy
Ac1 Ac 0.151 0.000 0.282 1
Al1 Al 0.000 0.500 0.500 1
Al2 Al 0.097 0.500 0.918 1
Au1 Au 0.153 0.000 0.773 1
# energy above the lowest structure with this stoichiometry = 0.000 eV per atom
# ΔE_f = -0.57 eV per atom
# raw total energy = -4.285 eV/atom


[3]
# In3Ni (PBE-GGA, optimized geometry)
data_In3Ni
_symmetry_space_group_name_H-M 'C 1 2/m 1'
_symmetry_Int_Tables_number 12
_symmetry_space_group_name_Hall '-C 2y'
_cell_length_a 8.503
_cell_length_b 3.425
_cell_length_c 6.321
_cell_angle_alpha 90.00
_cell_angle_beta 103.84
_cell_angle_gamma 90.00
loop_
_atom_site_label
_atom_site_type_symbol
_atom_site_fract_x
_atom_site_fract_y
_atom_site_fract_z
_atom_site_occupancy
In1 In 0.000 0.000 0.000 1
In2 In 0.229 0.000 0.695 1
Ni1 Ni 0.000 0.500 0.500 1
# ΔE_f = 0.12 eV per atom
# raw total energy = -3.376 eV/atom


[4]
# KCuTc3 (PBE-GGA, optimized geometry)
data_KCuTc3
_symmetry_space_group_name_H-M 'P m -3 m'
_symmetry_Int_Tables_number 221
_symmetry_space_group_name_Hall '-P 4 2 3'
_cell_length_a 4.462
_cell_length_b 4.462
_cell_length_c 4.462
_cell_angle_alpha 90.00
_cell_angle_beta 90.00
_cell_angle_gamma 90.00
loop_
_atom_site_label
_atom_site_type_symbol
_atom_site_fract_x
_atom_site_fract_y
_atom_site_fract_z
_atom_site_occupancy
K1 K 0.000 0.000 0.000 1
Cu1 Cu 0.500 0.500 0.500 1
Tc1 Tc 0.000 0.000 0.500 1
# energy above the lowest structure with this stoichiometry = 1.225 eV per atom
# ΔE_f = 3.20 eV per atom
# raw total energy = -4.057 eV/atom


[5]
# Ac2Cu3Si4Pt (PBE-GGA, optimized geometry)
data_Ac2Cu3Si4Pt
_symmetry_space_group_name_H-M 'P -4 m 2'
_symmetry_Int_Tables_number 115
_symmetry_space_group_name_Hall 'P -4 -2'
_cell_length_a 4.271
_cell_length_b 4.271
_cell_length_c 10.210
_cell_angle_alpha 90.00
_cell_angle_beta 90.00
_cell_angle_gamma 90.00
loop_
_atom_site_label
_atom_site_type_symbol
_atom_site_fract_x
_atom_site_fract_y
_atom_site_fract_z
_atom_site_occupancy
Ac1 Ac 0.000 0.500 0.246 1
Cu1 Cu 0.000 0.500 0.879 1
Cu2 Cu 0.500 0.500 0.500 1
Si1 Si 0.000 0.000 0.000 1
Si2 Si 0.000 0.500 0.627 1
Si3 Si 0.500 0.500 0.000 1
Pt1 Pt 0.000 0.000 0.500 1
# raw total energy = -5.410 eV/atom
# raw formation energy = -5.9 eV per formula unit


[6]
# Pa3Ga4Ni2 (PBE-GGA, optimized geometry)
data_Pa3Ga4Ni2
_symmetry_space_group_name_H-M 'C 1 2/m 1'
_symmetry_Int_Tables_number 12
_symmetry_space_group_name_Hall '-C 2y'
_cell_length_a 10.339
_cell_length_b 4.382
_cell_length_c 8.235
_cell_angle_alpha 90.00
_cell_angle_beta 115.14
_cell_angle_gamma 90.00
loop_
_atom_site_label
_atom_site_type_symbol
_atom_site_fract_x
_atom_site_fract_y
_atom_site_fract_z
_atom_site_occupancy
Pa1 Pa 0.000 0.000 0.000 1
Pa2 Pa 0.181 0.500 0.651 1
Ga1 Ga 0.031 0.000 0.367 1
Ga2 Ga 0.219 0.500 0.060 1
Ni1 Ni 0.093 0.500 0.267 1
# energy above the lowest structure with this stoichiometry = 0.000 eV per atom
# ΔE_f = -0.40 eV per atom
# raw total energy = -6.197 eV/atom


[7]
# BaTlS2 (PBE-GGA, optimized geometry)
data_BaTlS2
_symmetry_space_group_name_H-M 'R 3 m'
_symmetry_Int_Tables_number 160
_symmetry_space_group_name_Hall 'R 3 -2"'
_cell_length_a 4.3436
_cell_length_b 4.3436
_cell_length_c 21.9765
_cell_angle_alpha 90.00
_cell_angle_beta 90.00
_cell_angle_gamma 120.00
loop_
_atom_site_label
_atom_site_type_symbol
_atom_site_fract_x
_atom_site_fract_y
_atom_site_fract_z
_atom_site_occupancy
Ba1 Ba 0.0000 0.0000 0.0000 1
Tl1 Tl 0.0000 0.0000 0.1693 1
S1 S 0.0000 0.0000 0.5788 1
S2 S 0.0000 0.0000 0.7545 1
# raw total energy = -4.099 eV/atom
# raw formation energy = -3.9 eV per formula unit


[8]
# KCdIn2Hg4 (PBE-GGA, optimized geometry)
data_KCdIn2Hg4
_symmetry_space_group_name_H-M 'R -3 m'
_symmetry_Int_Tables_number 166
_symmetry_space_group_name_Hall '-R 3 2"'
_cell_length_a 4.9815
_cell_length_b 4.9815
_cell_length_c 32.8603
_cell_angle_alpha 90.00
_cell_angle_beta 90.00
_cell_angle_gamma 120.00
loop_
_atom_site_label
_atom_site_type_symbol
_atom_site_fract_x
_atom_site_fract_y
_atom_site_fract_z
_atom_site_occupancy
K1 K 0.0000 0.0000 0.0000 1
Cd1 Cd 0.0000 0.0000 0.5000 1
In1 In 0.0000 0.0000 0.2373 1
Hg1 Hg 0.0000 0.0000 0.1325 1
Hg2 Hg 0.0000 0.0000 0.3946 1
# ΔE_f = -0.10 eV per atom
# raw total energy = -1.187 eV/atom


[9]
# SmZrTaIr2 (PBE-GGA, optimized geometry)
data_SmZrTaIr2
_symmetry_space_group_name_H-M 'I -4 m 2'
_symmetry_Int_Tables_number 119
_symmetry_space_group_name_Hall 'I -4 -2'
_cell_length_a 4.502
_cell_length_b 4.502
_cell_length_c 10.706
_cell_angle_alpha 90.00
_cell_angle_beta 90.00
_cell_angle_gamma 90.00
loop_
_atom_site_label
_atom_site_type_symbol
_atom_site_fract_x
_atom_site_fract_y
_atom_site_fract_z
_atom_site_occupancy
Sm1 Sm 0.000 0.000 0.000 1
Zr1 Zr 0.000 0.500 0.250 1
Ta1 Ta 0.000 0.500 0.750 1
Ir1 Ir 0.000 0.000 0.378 1
# ΔE_f = -0.68 eV per atom
# raw total energy = -9.245 eV/atom


[10]
# CaAlH (PBE-GGA, optimized geometry)
data_CaAlH
_symmetry_space_group_name_H-M 'P m m a'
_symmetry_Int_Tables_number 51
_symmetry_space_group_name_Hall '-P 2a 2a'
_cell_length_a 4.837
_cell_length_b 3.074
_cell_length_c 7.192
_cell_angle_alpha 90.00
_cell_angle_beta 90.00
_cell_angle_gamma 90.00
loop_
_atom_site_label
_atom_site_type_symbol
_atom_site_fract_x
_atom_site_fract_y
_atom_site_fract_z
_atom_site_occupancy
Ca1 Ca 0.250 0.000 0.165 1
Al1 Al 0.250 0.500 0.584 1
H1 H 0.000 0.500 0.000 1
# energy above the lowest structure with this stoichiometry = 0.000 eV per atom
# raw total energy = -3.215 eV/atom


[11]
# K3Ag2Br2F3 (PBE-GGA, optimized geometry)
data_K3Ag2Br2F3
_symmetry_space_group_name_H-M 'I 4/m m m'
_symmetry_Int_Tables_number 139
_symmetry_space_group_name_Hall '-I 4 2'
_cell_length_a 5.208
_cell_length_b 5.208
_cell_length_c 22.495
_cell_angle_alpha 90.00
_cell_angle_beta 90.00
_cell_angle_gamma 90.00
loop_
_atom_site_label
_atom_site_type_symbol
_atom_site_fract_x
_atom_site_fract_y
_atom_site_fract_z
_atom_site_occupancy
K1 K 0.000 0.000 0.000 1
K2 K 0.000 0.000 0.386 1
Ag1 Ag 0.000 0.000 0.207 1
Br1 Br 0.000 0.500 0.250 1
F1 F 0.000 0.000 0.106 1
F2 F 0.000 0.000 0.500 1
# raw total energy = -3.356 eV/atom
# raw formation energy = -15.6 eV per formula unit


[12]
# NiIr2Os (PBE-GGA, optimized geometry)
data_NiIr2Os
_symmetry_space_group_name_H-M 'P 4 m m'
_symmetry_Int_Tables_number 99
_symmetry_space_group_name_Hall 'P 4 -2'
_cell_length_a 2.719
_cell_length_b 2.719
_cell_length_c 7.380
_cell_angle_alpha 90.00
_cell_angle_beta 90.00
_cell_angle_gamma 90.00
loop_
_atom_site_label
_atom_site_type_symbol
_atom_site_fract_x
_atom_site_fract_y
_atom_site_fract_z
_atom_site_occupancy
Ni1 Ni 0.000 0.000 0.000 1
Ir1 Ir 0.000 0.000 0.493 1
Ir2 Ir 0.500 0.500 0.760 1
Os1 Os 0.500 0.500 0.237 1
# energy above the lowest structure with this stoichiometry = 0.078 eV per atom
# ΔE_f = 0.08 eV per atom
# raw total energy = -8.600 eV/atom


Short version: magnetization = 0.00, 0.00, 0.00, 1.67, 0.00, 0.00, 0.00, 0.00, 0.00, 0.00, 0.00, 0.00 μB per cell, in the order given.